An optimized crystal structure of Be2ZnCd, computed with PBE.

Output
Its raw total energy is -8.23 eV/cell. The energy above the most stable polymorph in this dataset comes out at 0.0536 eV/atom. The value obtained for the formation enthalpy at 0 K is 0.3537 eV/atom.

a = 4.588 Å, b = 4.588 Å, c = 5.116 Å
α = 109.40°, β = 109.40°, γ = 33.62°
Fractional coordinates of all 4 atoms:
Be  0.000  0.000  0.000
Be  0.703  0.703  0.227
Zn  0.256  0.256  0.859
Cd  0.473  0.473  0.481

An optimized crystal structure of BeZnCd2, computed with PBE.

Output
Its raw total energy is -5.51 eV/cell. The energy above the most stable polymorph in this dataset comes out at 0.1161 eV/atom. The value obtained for the formation enthalpy at 0 K is 0.3297 eV/atom.

a = 4.597 Å, b = 4.597 Å, c = 3.456 Å
α = 90.00°, β = 90.00°, γ = 106.21°
Fractional coordinates of all 4 atoms:
Be  0.000  0.000  0.000
Zn  0.500  0.500  0.000
Cd  0.000  0.500  0.500
Cd  0.500  0.000  0.500

An optimized crystal structure of BeZnCd2, computed with PBE.

Output
Its raw total energy is -5.76 eV/cell. The energy above the most stable polymorph in this dataset comes out at 0.0539 eV/atom. The value obtained for the formation enthalpy at 0 K is 0.2676 eV/atom.

a = 5.455 Å, b = 5.455 Å, c = 5.370 Å
α = 119.33°, β = 119.33°, γ = 30.23°
Fractional coordinates of all 4 atoms:
Be  0.000  0.000  0.000
Zn  0.698  0.698  0.300
Cd  0.268  0.268  0.863
Cd  0.474  0.474  0.534

An optimized crystal structure of BeZnCd2, computed with PBE.

Output
Its raw total energy is -5.73 eV/cell. The energy above the most stable polymorph in this dataset comes out at 0.0622 eV/atom. The value obtained for the formation enthalpy at 0 K is 0.2759 eV/atom.

a = 3.246 Å, b = 4.233 Å, c = 5.137 Å
α = 90.00°, β = 101.14°, γ = 90.00°
Fractional coordinates of all 4 atoms:
Be  0.000  0.000  0.000
Zn  0.861  0.500  0.748
Cd  0.290  0.000  0.543
Cd  0.520  0.500  0.196

An optimized crystal structure of BeZnCd2, computed with PBE.

Output
Its raw total energy is -5.47 eV/cell. The energy above the most stable polymorph in this dataset comes out at 0.1258 eV/atom. The value obtained for the formation enthalpy at 0 K is 0.3394 eV/atom.

a = 4.177 Å, b = 4.177 Å, c = 3.930 Å
α = 90.00°, β = 90.00°, γ = 90.00°
Fractional coordinates of all 4 atoms:
Be  0.000  0.000  0.000
Zn  0.500  0.500  0.000
Cd  0.000  0.500  0.500
Cd  0.500  0.000  0.500

An optimized crystal structure of BeZnCd3, computed with PBE.

Output
Its raw total energy is -6.07 eV/cell. The energy above the most stable polymorph in this dataset comes out at 0.0000 eV/atom. The value obtained for the formation enthalpy at 0 K is 0.3346 eV/atom.

a = 4.784 Å, b = 4.784 Å, c = 4.784 Å
α = 90.00°, β = 90.00°, γ = 90.00°
Fractional coordinates of all 5 atoms:
Be  0.000  0.000  0.000
Zn  0.500  0.500  0.500
Cd  0.000  0.000  0.500
Cd  0.000  0.500  0.000
Cd  0.500  0.000  0.000

| no. | density of states at the Fermi level (states/eV/atom) |
| --- | --- |
| 1 | 0.190 |
| 2 | 0.165 |
| 3 | 0.177 |
| 4 | 0.167 |
| 5 | 0.176 |
| 6 | 0.323 |